# 1
## Cs3Na2YF9 (PBE)

Data for a relaxed structure of Cs3Na2YF9.

Geometry as CIF:
```
data_Cs3Na2YF9
_chemical_formula_sum 'Cs3 Na2 Y1 F9'
_cell_length_a 6.4453
_cell_length_b 6.4453
_cell_length_c 8.0771
_cell_angle_alpha 90.00
_cell_angle_beta 90.00
_cell_angle_gamma 120.00
_space_group_name_H-M_alt 'P 1'
_space_group_IT_number 1
_space_group_name_Hall 'P 1'
loop_
_atom_site_label
_atom_site_fract_x
_atom_site_fract_y
_atom_site_fract_z
Cs1 0.3333 0.6667 0.6849
Cs2 0.0000 0.0000 0.0000
Cs3 0.6667 0.3333 0.3151
Na1 0.3333 0.6667 0.1824
Na2 0.6667 0.3333 0.8176
Y1 0.0000 0.0000 0.5000
F1 0.8400 0.1600 0.6581
F2 0.8400 0.6800 0.6581
F3 0.3200 0.1600 0.6581
F4 0.6800 0.8400 0.3419
F5 0.1600 0.3200 0.3419
F6 0.1600 0.8400 0.3419
F7 0.5000 0.0000 0.0000
F8 0.0000 0.5000 0.0000
F9 0.5000 0.5000 0.0000
```

## Properties
Electronic total energy: -72.7 eV per cell
Space-group type: No. 164
Formation energy without anion corrections: -2.946 eV/atom

---

# 2
## Cs2NaZnF5 (PBE)

Data for a relaxed structure of Cs2NaZnF5.

Geometry as CIF:
```
data_Cs2NaZnF5
_chemical_formula_sum 'Cs4 Na2 Zn2 F10'
_cell_length_a 6.9201
_cell_length_b 7.6648
_cell_length_c 7.6648
_cell_angle_alpha 90.00
_cell_angle_beta 90.00
_cell_angle_gamma 90.00
_space_group_name_H-M_alt 'P 1'
_space_group_IT_number 1
_space_group_name_Hall 'P 1'
loop_
_atom_site_label
_atom_site_fract_x
_atom_site_fract_y
_atom_site_fract_z
Cs1 0.5000 0.6747 0.1747
Cs2 0.5000 0.1747 0.3253
Cs3 0.5000 0.8253 0.6747
Cs4 0.5000 0.3253 0.8253
Na1 0.0000 0.5000 0.5000
Na2 0.0000 0.0000 0.0000
Zn1 0.0000 0.0000 0.5000
Zn2 0.0000 0.5000 0.0000
F1 0.5000 0.5000 0.5000
F2 0.5000 0.0000 0.0000
F3 0.1923 0.1320 0.6320
F4 0.1923 0.8680 0.3680
F5 0.1923 0.3680 0.1320
F6 0.1923 0.6320 0.8680
F7 0.8077 0.1320 0.6320
F8 0.8077 0.6320 0.8680
F9 0.8077 0.8680 0.3680
F10 0.8077 0.3680 0.1320
```

## Properties
Electronic total energy: -70.0 eV per cell
Space-group type: No. 127
Formation energy without anion corrections: -2.371 eV/atom

---

# 3
## Cs4NaZn3F12 (PBE)

Data for a relaxed structure of Cs4NaZn3F12.

Geometry as CIF:
```
data_Cs4NaZn3F12
_chemical_formula_sum 'Cs4 Na1 Zn3 F12'
_cell_length_a 7.5633
_cell_length_b 7.5633
_cell_length_c 7.5633
_cell_angle_alpha 109.47
_cell_angle_beta 109.47
_cell_angle_gamma 109.47
_space_group_name_H-M_alt 'P 1'
_space_group_IT_number 1
_space_group_name_Hall 'P 1'
loop_
_atom_site_label
_atom_site_fract_x
_atom_site_fract_y
_atom_site_fract_z
Cs1 0.5000 0.5000 0.5000
Cs2 0.0000 0.0000 0.5000
Cs3 0.5000 0.0000 0.0000
Cs4 0.0000 0.5000 0.0000
Na1 0.0000 0.0000 0.0000
Zn1 0.5000 0.0000 0.5000
Zn2 0.5000 0.5000 0.0000
Zn3 0.0000 0.5000 0.5000
F1 0.2500 0.5000 0.7500
F2 0.7219 0.0000 0.7219
F3 0.2781 0.0000 0.2781
F4 0.7500 0.5000 0.2500
F5 0.7219 0.7219 0.0000
F6 0.2781 0.2781 0.0000
F7 0.7500 0.2500 0.5000
F8 0.2500 0.7500 0.5000
F9 0.5000 0.2500 0.7500
F10 0.0000 0.7219 0.7219
F11 0.5000 0.7500 0.2500
F12 0.0000 0.2781 0.2781
```

## Properties
Electronic total energy: -80.3 eV per cell
Space-group type: No. 229
Formation energy without anion corrections: -2.462 eV/atom

---

# 4
## Cs3Na2ZnF9 (PBE)

Data for a relaxed structure of Cs3Na2ZnF9.

Geometry as CIF:
```
data_Cs3Na2ZnF9
_chemical_formula_sum 'Cs3 Na2 Zn1 F9'
_cell_length_a 6.2973
_cell_length_b 6.2973
_cell_length_c 7.8344
_cell_angle_alpha 90.00
_cell_angle_beta 90.00
_cell_angle_gamma 120.00
_space_group_name_H-M_alt 'P 1'
_space_group_IT_number 1
_space_group_name_Hall 'P 1'
loop_
_atom_site_label
_atom_site_fract_x
_atom_site_fract_y
_atom_site_fract_z
Cs1 0.3333 0.6667 0.6754
Cs2 0.0000 0.0000 0.0000
Cs3 0.6667 0.3333 0.3246
Na1 0.3333 0.6667 0.1811
Na2 0.6667 0.3333 0.8189
Zn1 0.0000 0.0000 0.5000
F1 0.8507 0.1493 0.6456
F2 0.8507 0.7014 0.6456
F3 0.2986 0.1493 0.6456
F4 0.7014 0.8507 0.3544
F5 0.1493 0.2986 0.3544
F6 0.1493 0.8507 0.3544
F7 0.5000 0.0000 0.0000
F8 0.0000 0.5000 0.0000
F9 0.5000 0.5000 0.0000
```

## Properties
Electronic total energy: -58.3 eV per cell
Space-group type: No. 164
Formation energy without anion corrections: -2.331 eV/atom